# TbHoNp | OQMD | PBE-GGA | optimized geometry
data_TbHoNp
_chemical_formula_sum 'Tb4 Ho4 Np4'
_cell_length_a 7.4162
_cell_length_b 7.4162
_cell_length_c 7.4162
_cell_angle_alpha 90.00
_cell_angle_beta 90.00
_cell_angle_gamma 90.00
_symmetry_space_group_name_H-M 'F -4 3 m'
_symmetry_Int_Tables_number 216
_symmetry_space_group_name_Hall 'F -4 2 3'
loop_
_atom_site_label
_atom_site_fract_x
_atom_site_fract_y
_atom_site_fract_z
Tb1 0.0000 0.0000 0.0000
Ho1 0.2500 0.2500 0.7500
Np1 0.0000 0.0000 0.5000
# - Total energy: -0.2262 hartree per atom
# - Polymorph energy (0 for the lowest one): 0 meV per atom
# - ΔH_f (0 K): 1.17 eV/atom
# - Calculated volume: 102.0 Å³/f.u.